# PBE NiRhSe3, relaxed
# Crystal system ... cubic
# Density of states at the Fermi level ... 1.17 states/eV/atom
# Magnetic moment ... 0.00 μB per cell
# Raw formation energy ... 633 meV per atom
# Final energy ... -4.08 eV/atom
data_NiRhSe3
_chemical_formula_sum 'Ni1 Rh1 Se3'
_symmetry_space_group_name_H-M 'P m -3 m'
_symmetry_Int_Tables_number 221
_symmetry_space_group_name_Hall '-P 4 2 3'
_cell_length_a 4.6163
_cell_length_b 4.6163
_cell_length_c 4.6163
_cell_angle_alpha 90.00
_cell_angle_beta 90.00
_cell_angle_gamma 90.00
loop_
_atom_site_label
_atom_site_type_symbol
_atom_site_fract_x
_atom_site_fract_y
_atom_site_fract_z
Ni1 Ni 0.0000 0.0000 0.0000
Rh1 Rh 0.5000 0.5000 0.5000
Se1 Se 0.0000 0.0000 0.5000

# PBE NiRhSe2, relaxed
# Crystal system ... cubic
# Density of states at the Fermi level ... 1.16 states/eV/atom
# Magnetic moment ... 0.17 μB per cell
# Raw formation energy ... 515 meV per atom
# Final energy ... -4.51 eV/atom
data_NiRhSe2
_chemical_formula_sum 'Ni4 Rh4 Se8'
_symmetry_space_group_name_H-M 'F -4 3 m'
_symmetry_Int_Tables_number 216
_symmetry_space_group_name_Hall 'F -4 2 3'
_cell_length_a 6.3332
_cell_length_b 6.3332
_cell_length_c 6.3332
_cell_angle_alpha 90.00
_cell_angle_beta 90.00
_cell_angle_gamma 90.00
loop_
_atom_site_label
_atom_site_type_symbol
_atom_site_fract_x
_atom_site_fract_y
_atom_site_fract_z
Ni1 Ni 0.0000 0.0000 0.0000
Rh1 Rh 0.2500 0.2500 0.2500
Se1 Se 0.0000 0.0000 0.5000
Se2 Se 0.2500 0.2500 0.7500

# PBE Ni2RhSe, relaxed
# Crystal system ... trigonal
# Density of states at the Fermi level ... 1.34 states/eV/atom
# Magnetic moment ... 3.64 μB per cell
# Raw formation energy ... 204 meV per atom
# Final energy ... -5.40 eV/atom
data_Ni2RhSe
_chemical_formula_sum 'Ni6 Rh3 Se3'
_symmetry_space_group_name_H-M 'R -3 m'
_symmetry_Int_Tables_number 166
_symmetry_space_group_name_Hall '-R 3 2"'
_cell_length_a 2.8587
_cell_length_b 2.8587
_cell_length_c 23.0883
_cell_angle_alpha 90.00
_cell_angle_beta 90.00
_cell_angle_gamma 120.00
loop_
_atom_site_label
_atom_site_type_symbol
_atom_site_fract_x
_atom_site_fract_y
_atom_site_fract_z
Ni1 Ni 0.0000 0.0000 0.2456
Rh1 Rh 0.0000 0.0000 0.0000
Se1 Se 0.0000 0.0000 0.5000

# PBE NiRh2Se, relaxed
# Crystal system ... orthorhombic
# Density of states at the Fermi level ... 1.39 states/eV/atom
# Magnetic moment ... 1.84 μB per cell
# Raw formation energy ... 119 meV per atom
# Final energy ... -5.87 eV/atom
data_NiRh2Se
_chemical_formula_sum 'Ni2 Rh4 Se2'
_symmetry_space_group_name_H-M 'C m m m'
_symmetry_Int_Tables_number 65
_symmetry_space_group_name_Hall '-C 2 2'
_cell_length_a 5.6087
_cell_length_b 6.8186
_cell_length_c 2.9599
_cell_angle_alpha 90.00
_cell_angle_beta 90.00
_cell_angle_gamma 90.00
loop_
_atom_site_label
_atom_site_type_symbol
_atom_site_fract_x
_atom_site_fract_y
_atom_site_fract_z
Ni1 Ni 0.0000 0.0000 0.0000
Rh1 Rh 0.2500 0.2500 0.5000
Se1 Se 0.0000 0.5000 0.0000

# PBE NiRhSe2, relaxed
# Crystal system ... tetragonal
# Density of states at the Fermi level ... 0.64 states/eV/atom
# Magnetic moment ... 0.00 μB per cell
# Raw formation energy ... 58 meV per atom
# Final energy ... -4.97 eV/atom
data_NiRhSe2
_chemical_formula_sum 'Ni1 Rh1 Se2'
_symmetry_space_group_name_H-M 'P 4/m m m'
_symmetry_Int_Tables_number 123
_symmetry_space_group_name_Hall '-P 4 2'
_cell_length_a 4.4359
_cell_length_b 4.4359
_cell_length_c 3.1059
_cell_angle_alpha 90.00
_cell_angle_beta 90.00
_cell_angle_gamma 90.00
loop_
_atom_site_label
_atom_site_type_symbol
_atom_site_fract_x
_atom_site_fract_y
_atom_site_fract_z
Ni1 Ni 0.0000 0.0000 0.0000
Rh1 Rh 0.5000 0.5000 0.0000
Se1 Se 0.0000 0.5000 0.5000

# PBE NiRhSe3, relaxed
# Crystal system ... cubic
# Density of states at the Fermi level ... 2.01 states/eV/atom
# Magnetic moment ... 2.26 μB per cell
# Raw formation energy ... 779 meV per atom
# Final energy ... -3.94 eV/atom
data_NiRhSe3
_chemical_formula_sum 'Ni1 Rh1 Se3'
_symmetry_space_group_name_H-M 'P m -3 m'
_symmetry_Int_Tables_number 221
_symmetry_space_group_name_Hall '-P 4 2 3'
_cell_length_a 4.8666
_cell_length_b 4.8666
_cell_length_c 4.8666
_cell_angle_alpha 90.00
_cell_angle_beta 90.00
_cell_angle_gamma 90.00
loop_
_atom_site_label
_atom_site_type_symbol
_atom_site_fract_x
_atom_site_fract_y
_atom_site_fract_z
Ni1 Ni 0.0000 0.0000 0.0000
Rh1 Rh 0.5000 0.5000 0.5000
Se1 Se 0.0000 0.5000 0.5000